[1]
This record from Alexandria describes TbSc2Au3 after structural relaxation. The functional is GGA-PBE.

Cell and atoms, written as POSCAR:
```
TbSc2Au3
1.0
-2.501 1.574 1.782
-0.530 -2.891 1.809
7.086 3.172 7.143
Sc Au Tb
2 3 1
Direct
0.500 0.500 0.160
0.500 0.500 0.840
0.000 0.000 0.688
0.000 0.000 0.312
0.000 0.000 0.000
0.500 0.500 0.500
```

- Space group: P4/mmm
- Energy of formation from the pure elements: -4.902 eV/f.u.
- Uncorrected energy: -5.338 eV/atom

---

[2]
This record from Alexandria describes TbScAu2 after structural relaxation. The functional is GGA-PBE.

Cell and atoms, written as POSCAR:
```
TbScAu2
1.0
3.481 0.000 0.000
0.000 3.481 0.000
0.000 0.000 7.118
Au Sc Tb
2 1 1
Direct
0.000 0.000 0.225
0.000 0.000 0.775
0.500 0.500 0.000
0.500 0.500 0.500
```

- Space group: P4/mmm
- Energy of formation from the pure elements: -3.276 eV/f.u.
- Uncorrected energy: -5.198 eV/atom
- Relative energy among the computed polymorphs: 0.0 meV per atom

---

[3]
This record from Alexandria describes Tb2ScAu2 after structural relaxation. The functional is GGA-PBE.

Cell and atoms, written as POSCAR:
```
Tb2ScAu2
1.0
-3.773 -0.508 0.968
-0.469 -4.857 3.593
-0.780 1.628 5.785
Tb Au Sc
2 2 1
Direct
0.202 0.298 0.298
0.798 0.702 0.702
0.500 0.284 0.716
0.500 0.716 0.284
0.000 0.000 0.000
```

- Space group: Immm
- Energy of formation from the pure elements: -3.178 eV/f.u.
- Uncorrected energy: -5.065 eV/atom
- Relative energy among the computed polymorphs: 41.4 meV per atom

---

[4]
This record from Alexandria describes TbScAu2 after structural relaxation. The functional is GGA-PBE.

Cell and atoms, written as POSCAR:
```
TbScAu2
1.0
-4.340 -1.011 -2.218
-3.636 -2.246 2.553
-4.091 2.540 1.261
Au Tb Sc
2 1 1
Direct
0.750 0.750 0.750
0.250 0.250 0.250
0.000 0.000 0.000
0.500 0.500 0.500
```

- Space group: Fm-3m
- Energy of formation from the pure elements: -3.187 eV/f.u.
- Uncorrected energy: -5.176 eV/atom
- Relative energy among the computed polymorphs: 22.3 meV per atom

---

[5]
This record from Alexandria describes TbSc2Au after structural relaxation. The functional is GGA-PBE.

Cell and atoms, written as POSCAR:
```
TbSc2Au
1.0
-4.243 0.981 2.505
-3.962 -3.052 -0.476
-1.387 -2.932 3.836
Au Sc Tb
1 2 1
Direct
0.500 0.500 0.500
0.750 0.750 0.750
0.250 0.250 0.250
0.000 0.000 0.000
```

- Space group: Fm-3m
- Energy of formation from the pure elements: -0.642 eV/f.u.
- Uncorrected energy: -5.303 eV/atom
- Relative energy among the computed polymorphs: 270.7 meV per atom

---

[6]
This record from Alexandria describes TbScAu after structural relaxation. The functional is GGA-PBE.

Cell and atoms, written as POSCAR:
```
TbScAu
1.0
3.497 0.000 0.000
0.000 3.497 0.000
-1.749 -1.749 5.913
Tb Au Sc
1 1 1
Direct
0.013 0.013 0.026
0.679 0.679 0.358
0.308 0.308 0.616
```

- Space group: I4mm
- Energy of formation from the pure elements: -1.528 eV/f.u.
- Uncorrected energy: -5.256 eV/atom
- Relative energy among the computed polymorphs: 120.2 meV per atom

---

[7]
This record from Alexandria describes Tb3ScAu4 after structural relaxation. The functional is GGA-PBE.

Cell and atoms, written as POSCAR:
```
Tb3ScAu4
1.0
-1.772 2.999 -0.709
-0.441 -1.057 -3.365
-12.271 -6.394 3.616
Au Sc Tb
4 1 3
Direct
0.000 0.000 0.110
0.000 0.000 0.372
0.000 0.000 0.890
0.000 0.000 0.628
0.500 0.500 0.000
0.500 0.500 0.757
0.500 0.500 0.500
0.500 0.500 0.243
```

- Space group: P4/mmm
- Energy of formation from the pure elements: -6.639 eV/f.u.
- Uncorrected energy: -4.996 eV/atom

---

[8]
This record from Alexandria describes TbScAu after structural relaxation. The functional is GGA-PBE.

Cell and atoms, written as POSCAR:
```
TbScAu
1.0
4.830 0.000 0.000
2.415 4.183 0.000
2.415 1.394 7.946
Sc Au Tb
2 2 2
Direct
0.628 0.628 0.115
0.372 0.372 0.885
0.254 0.254 0.237
0.746 0.746 0.763
0.878 0.878 0.365
0.122 0.122 0.635
```

- Space group: R-3m
- Energy of formation from the pure elements: -1.246 eV/f.u.
- Uncorrected energy: -5.162 eV/atom
- Relative energy among the computed polymorphs: 214.4 meV per atom

---

> The highest uncorrected energy belongs to which entry?

Tb3ScAu4

---

> Which value of uncorrected energy does entry 1 give?

-5.338 eV/atom

---

> Number 2 is which compound?

TbScAu2

---

> Among the records above, which one has the lowest uncorrected energy?

TbSc2Au3